Compound: Mg2ScCo
Source: Alexandria via LeMat-Bulk
Functional: GGA-PBE
Structure: relaxed

Cell: 9.354 9.354 9.354 Å, 19.35 19.35 19.35°
Each line ends with the local moment (μB).
Element x y z (fractional)
Mg 0.985 0.985 0.985  -0.01
Mg 0.751 0.751 0.751  0.00
Co 0.247 0.247 0.247  0.72
Sc 0.517 0.517 0.517  -0.08

Values from the calculation:
raw total energy: -16.3 eV per cell
size of the total moment: 0.6 μB per cell
SG: R3m, No. 160
ΔE_f: 7.9 kJ/mol of atoms
density of states at the Fermi level: 3.2 states/eV/f.u.


Compound: Mg2ScCo
Source: Alexandria via LeMat-Bulk
Functional: GGA-PBE
Structure: relaxed

Cell: 4.656 4.656 4.656 Å, 119.99 119.99 90.01°
Each line ends with the local moment (μB).
Element x y z (fractional)
Co 0.750 0.250 0.500  0.45
Sc 0.500 0.500 0.000  -0.06
Mg 0.000 0.000 0.000  0.00
Mg 0.250 0.750 0.500  0.00

Values from the calculation:
raw total energy: -16.4 eV per cell
size of the total moment: 0.4 μB per cell
SG: F-43m, No. 216
ΔE_f: 4.5 kJ/mol of atoms
density of states at the Fermi level: 4.4 states/eV/f.u.


Compound: MgScCo
Source: Alexandria via LeMat-Bulk
Functional: GGA-PBE
Structure: relaxed

Cell: 4.389 4.389 3.069 Å, 90.00 90.00 120.00°
Element x y z (fractional)
Sc 0.333 0.667 0.720
Co 0.000 0.000 0.010
Mg 0.667 0.333 0.270

Values from the calculation:
raw total energy: -14.9 eV per cell
size of the total moment: 0.0 μB per cell
SG: P3m1, No. 156
ΔE_f: 4.2 kJ/mol of atoms
density of states at the Fermi level: 1.7 states/eV/f.u.


Compound: MgScCo2
Source: Alexandria via LeMat-Bulk
Functional: GGA-PBE
Structure: relaxed

Cell: 6.775 6.775 5.522 Å, 52.16 52.16 90.00°
Each line ends with the local moment (μB).
Element x y z (fractional)
Sc 0.000 0.000 0.000  -0.21
Sc 0.750 0.250 0.500  -0.21
Co 0.875 0.878 0.750  0.74
Co 0.122 0.625 0.250  0.74
Co 0.628 0.125 0.250  0.74
Co 0.375 0.372 0.750  0.74
Mg 0.500 0.500 0.000  -0.01
Mg 0.250 0.750 0.500  -0.01

Values from the calculation:
raw total energy: -41.4 eV per cell
size of the total moment: 2.2 μB per cell
SG: I-42d, No. 122
ΔE_f: 35.1 kJ/mol of atoms
density of states at the Fermi level: 6.3 states/eV/f.u.


Compound: MgScCo
Source: Alexandria via LeMat-Bulk
Functional: GGA-PBE
Structure: relaxed

Cell: 5.843 5.843 3.120 Å, 74.51 74.51 30.97°
Element x y z (fractional)
Sc 0.634 0.634 0.366
Co 0.006 0.006 0.994
Mg 0.360 0.360 0.640

Values from the calculation:
raw total energy: -15.5 eV per cell
size of the total moment: 0.0 μB per cell
SG: I4mm, No. 107
ΔE_f: -14.2 kJ/mol of atoms
density of states at the Fermi level: 0.8 states/eV/f.u.


Compound: Mg2ScCo
Source: Alexandria via LeMat-Bulk
Functional: GGA-PBE
Structure: relaxed

Cell: 5.343 5.343 2.950 Å, 90.00 90.00 117.55°
Each line ends with the local moment (μB).
Element x y z (fractional)
Mg 0.000 0.000 0.000  -0.01
Mg 0.500 0.500 0.000  -0.01
Sc 0.500 0.000 0.500  -0.19
Co 0.000 0.500 0.500  1.09

Values from the calculation:
raw total energy: -15.7 eV per cell
size of the total moment: 0.7 μB per cell
SG: Cmmm, No. 65
ΔE_f: 22.5 kJ/mol of atoms
density of states at the Fermi level: 3.7 states/eV/f.u.